Compound: Na2FeF
Source: Alexandria via LeMat-Bulk
Functional: GGA+U
Structure: relaxed

The volume comes out at 84.98 Å³/cell. The space group is Fm-3m. The value obtained for the magnetic moment is 3.1 μB/f.u. As for the energy above the most stable polymorph in this dataset: 0.609 eV/atom. The value obtained for the density of states at the Fermi level is 9.237 states/eV/f.u.

a = 4.935 Å, b = 4.935 Å, c = 4.935 Å
α = 60.00°, β = 60.00°, γ = 60.00°
Fractional positions:
1 Na 0.250 0.250 0.250
2 Na 0.750 0.750 0.750
3 Fe 0.000 0.000 0.000
4 F 0.500 0.500 0.500